Entry 1:
# BaTa2

An optimized crystal structure of BaTa2 (GGA-PBE, Alexandria via LeMat-Bulk).

Unit cell a=7.7107 b=7.7107 c=5.6754 alpha=90.00 beta=90.00 gamma=90.00
Space group I4/mcm (No. 140)
Symmetry-distinct sites (fractional):
Ba: 0.0000 0.0000 0.2500
Ta: 0.1098 0.3902 0.0000

Formation enthalpy at 0 K   1.899 eV per atom
Electronic total energy   -6.64 eV per atom
Excess energy over the best structure of this formula in the dataset   1354 meV per atom

---

Entry 2:
# La3Zn2Ru

An optimized crystal structure of La3Zn2Ru (GGA-PBE, Alexandria via LeMat-Bulk).

Unit cell a=12.4978 b=4.6609 c=11.0242 alpha=90.00 beta=90.00 gamma=90.00
Space group Pnma (No. 62)
Symmetry-distinct sites (fractional):
La: 0.0554 0.2500 0.1161
La: 0.1093 0.7500 0.5600
La: 0.2394 0.2500 0.7896
Zn: 0.0100 0.7500 0.2981
Zn: 0.2125 0.7500 0.9915
Ru: 0.1096 0.2500 0.3533

Formation enthalpy at 0 K   -0.300 eV per atom
Electronic total energy   -4.73 eV per atom

---

Entry 3:
# AsPtPb

An optimized crystal structure of AsPtPb (GGA-PBE, Alexandria via LeMat-Bulk).

Unit cell a=6.5055 b=6.5055 c=6.5055 alpha=90.00 beta=90.00 gamma=90.00
Space group F-43m (No. 216)
Symmetry-distinct sites (fractional):
As: 0.0000 0.0000 0.0000
Pt: 0.2500 0.2500 0.2500
Pb: 0.0000 0.0000 0.5000

Formation enthalpy at 0 K   -0.111 eV per atom
Electronic total energy   -4.91 eV per atom
Excess energy over the best structure of this formula in the dataset   196 meV per atom

---

Entry 4:
# La2PaH12Pd3

An optimized crystal structure of La2PaH12Pd3 (GGA-PBE, Alexandria via LeMat-Bulk).

Unit cell a=6.3335 b=6.3335 c=16.4339 alpha=90.00 beta=90.00 gamma=120.00
Space group R-3m (No. 166, hexagonal axes)
Symmetry-distinct sites (fractional):
La: 0.0000 0.0000 0.1059
Pa: 0.0000 0.0000 0.5000
H: 0.0471 0.5236 0.8729
H: 0.0778 0.5389 0.2873
Pd: 0.0000 0.5000 0.0000

Electronic total energy   -4.46 eV per atom